# 1
A relaxed structure of LaPrDyGa, computed with GGA-PBE.

Cell and atoms, written as CIF:
```
data_LaPrDyGa
_chemical_formula_sum 'La4 Pr4 Dy4 Ga4'
_cell_length_a 7.770
_cell_length_b 7.770
_cell_length_c 7.770
_cell_angle_alpha 90.00
_cell_angle_beta 90.00
_cell_angle_gamma 90.00
_space_group_name_H-M_alt 'F -4 3 m'
_space_group_IT_number 216
_space_group_name_Hall 'F -4 2 3'
loop_
_atom_site_label
_atom_site_type_symbol
_atom_site_fract_x
_atom_site_fract_y
_atom_site_fract_z
La1 La 0.000 0.000 0.000
Pr1 Pr 0.000 0.000 0.500
Dy1 Dy 0.250 0.250 0.250
Ga1 Ga 0.250 0.250 0.750
```

---

# 2
# LaDyGaPt (GGA-PBE, relaxed)
# - relative energy among the computed polymorphs (meV/atom) = 90
data_LaDyGaPt
_chemical_formula_sum 'La4 Dy4 Ga4 Pt4'
_cell_length_a 7.278
_cell_length_b 7.278
_cell_length_c 7.278
_cell_angle_alpha 90.00
_cell_angle_beta 90.00
_cell_angle_gamma 90.00
_space_group_name_H-M_alt 'F -4 3 m'
_space_group_IT_number 216
_space_group_name_Hall 'F -4 2 3'
loop_
_atom_site_label
_atom_site_type_symbol
_atom_site_fract_x
_atom_site_fract_y
_atom_site_fract_z
La1 La 0.000 0.000 0.000
Dy1 Dy 0.000 0.000 0.500
Ga1 Ga 0.250 0.250 0.250
Pt1 Pt 0.250 0.250 0.750

---

# 3
A relaxed structure of LaDy2Ga2Pt7, computed with GGA-PBE.

Cell and atoms, written as CIF:
```
data_LaDy2Ga2Pt7
_chemical_formula_sum 'La2 Dy4 Ga4 Pt14'
_cell_length_a 5.822
_cell_length_b 5.745
_cell_length_c 14.299
_cell_angle_alpha 90.00
_cell_angle_beta 99.73
_cell_angle_gamma 90.00
_space_group_name_H-M_alt 'C 1 2/m 1'
_space_group_IT_number 12
_space_group_name_Hall '-C 2y'
loop_
_atom_site_label
_atom_site_type_symbol
_atom_site_fract_x
_atom_site_fract_y
_atom_site_fract_z
La1 La 0.000 0.000 0.000
Dy1 Dy 0.131 0.000 0.362
Ga1 Ga 0.110 0.500 0.263
Pt1 Pt 0.000 0.500 0.000
Pt2 Pt 0.145 0.500 0.435
Pt3 Pt 0.182 0.250 0.838
```

---

# 4
# LaDyGaPt (GGA-PBE, relaxed)
# - relative energy among the computed polymorphs (meV/atom) = 0
data_LaDyGaPt
_chemical_formula_sum 'La2 Dy2 Ga2 Pt2'
_cell_length_a 4.427
_cell_length_b 3.939
_cell_length_c 11.369
_cell_angle_alpha 90.00
_cell_angle_beta 90.00
_cell_angle_gamma 90.00
_space_group_name_H-M_alt 'A m m 2'
_space_group_IT_number 38
_space_group_name_Hall 'A 2 -2'
loop_
_atom_site_label
_atom_site_type_symbol
_atom_site_fract_x
_atom_site_fract_y
_atom_site_fract_z
La1 La 0.000 0.000 0.000
Dy1 Dy 0.500 0.000 0.716
Ga1 Ga 0.500 0.000 0.420
Pt1 Pt 0.000 0.000 0.273

---

| no. | DFT total energy (eV per formula unit) |
| --- | --- |
| 1 | -17.77 |
| 2 | -21.74 |
| 3 | -73.56 |
| 4 | -22.10 |